1.
VASP calculation (PBE) on a relaxed Nb2SiB crystal. Values from VASP.

```
&SYSTEM
  ibrav = 0, nat = 4, ntyp = 3
/
ATOMIC_SPECIES
Nb 92.91 Nb.upf
B 10.81 B.upf
Si 28.09 Si.upf
CELL_PARAMETERS angstrom
-1.2497 -2.8363 -1.2017
1.2314 -2.9182 1.0092
-4.0942 -2.0585 4.5183
ATOMIC_POSITIONS crystal
Nb 0.2647 0.2647 0.2059
Nb 0.7353 0.7353 0.7941
B 0.0000 0.0000 0.0000
Si 0.5000 0.5000 0.5000
```

Results
The uncorrected formation energy is -40.5 kJ/mol of atoms. The value obtained for the total energy is -8.480 eV/atom. As for the space group: R-3m.

---

2.
VASP calculation (PBE) on a relaxed AsPO3 crystal. Values from VASP.

```
&SYSTEM
  ibrav = 0, nat = 5, ntyp = 3
/
ATOMIC_SPECIES
P 30.97 P.upf
As 74.92 As.upf
O 16.00 O.upf
CELL_PARAMETERS angstrom
-3.7618 -0.1114 -0.5313
-0.2356 -3.0164 2.3003
-0.4891 2.3097 2.9786
ATOMIC_POSITIONS crystal
P 0.5000 0.5000 0.5000
As 0.0000 0.0000 0.0000
O 0.0000 0.5000 0.0000
O 0.0000 0.0000 0.5000
O 0.5000 0.0000 0.0000
```

Results
The uncorrected formation energy is -2.7 kJ/mol of atoms. The value obtained for the total energy is -5.015 eV/atom. As for the space group: Pm-3m.

---

3.
VASP calculation (PBE) on a relaxed La2Ta3O10 crystal. Values from VASP.

```
&SYSTEM
  ibrav = 0, nat = 30, ntyp = 3
/
ATOMIC_SPECIES
La 138.91 La.upf
Ta 180.95 Ta.upf
O 16.00 O.upf
CELL_PARAMETERS angstrom
-1.4455 -5.4726 1.5246
6.2156 -0.3543 4.6215
-6.9599 5.9943 3.6484
ATOMIC_POSITIONS crystal
La 0.6984 0.3399 0.3967
La 0.3016 0.6600 0.6033
La 0.5977 0.7218 0.1954
La 0.4023 0.2782 0.8046
Ta 0.9172 0.5177 0.8345
Ta 0.0828 0.4823 0.1655
Ta 0.8141 0.9628 0.6282
Ta 0.1859 0.0372 0.3718
Ta 0.7428 0.0000 0.0000
Ta 0.2572 0.0000 0.0000
O 0.6276 0.9618 0.7779
O 0.1504 0.9618 0.7779
O 0.3724 0.0382 0.2221
O 0.8496 0.0382 0.2221
O 0.5991 0.5016 0.7024
O 0.1033 0.5016 0.7024
O 0.4009 0.4984 0.2976
O 0.8967 0.4984 0.2976
O 0.9735 0.7979 0.9469
O 0.0265 0.2021 0.0531
O 0.8777 0.2426 0.7553
O 0.1223 0.7574 0.2447
O 0.7731 0.6994 0.5462
O 0.2269 0.3006 0.4538
O 0.4840 0.7985 0.9680
O 0.5160 0.2015 0.0320
O 0.7670 0.5000 0.0000
O 0.2330 0.5000 0.0000
O 0.5000 0.0000 0.5000
O 0.0000 0.0000 0.5000
```

Results
The uncorrected formation energy is -292.3 kJ/mol of atoms. The value obtained for the total energy is -9.363 eV/atom. As for the space group: C2/m.

---

4.
VASP calculation (PBE) on a relaxed Ca2ReAuN crystal. Values from VASP.

```
&SYSTEM
  ibrav = 0, nat = 5, ntyp = 4
/
ATOMIC_SPECIES
Re 186.21 Re.upf
Ca 40.08 Ca.upf
Au 196.97 Au.upf
N 14.01 N.upf
CELL_PARAMETERS angstrom
5.0049 0.0000 0.0000
0.0000 5.0049 0.0000
0.0000 0.0000 3.8672
ATOMIC_POSITIONS crystal
Re 0.0000 0.0000 0.5000
Ca 0.0000 0.5000 0.0000
Ca 0.5000 0.0000 0.0000
Au 0.5000 0.5000 0.5000
N 0.0000 0.0000 0.0000
```

Results
The uncorrected formation energy is -40.9 kJ/mol of atoms. The value obtained for the total energy is -6.035 eV/atom. As for the space group: P4/mmm.

---

5.
VASP calculation (PBE) on a relaxed Zr2InHg2 crystal. Values from VASP.

```
&SYSTEM
  ibrav = 0, nat = 5, ntyp = 3
/
ATOMIC_SPECIES
Zr 91.22 Zr.upf
In 114.82 In.upf
Hg 200.59 Hg.upf
CELL_PARAMETERS angstrom
-2.8808 -0.3739 1.0457
2.1211 -7.1170 2.3937
0.1613 -4.1119 7.1728
ATOMIC_POSITIONS crystal
Zr 0.6425 0.3159 0.8169
Zr 0.3575 0.6841 0.1831
In 0.0000 0.5000 0.0000
Hg 0.3657 0.1309 0.6300
Hg 0.6343 0.8691 0.3700
```

Results
As for the formation energy: -1.9 kcal/mol of atoms. The value obtained for the total energy is -4.169 eV/atom. As for the space group: P-1.

---

6.
VASP calculation (PBE) on a relaxed EuTiCl2 crystal. Values from VASP.

```
&SYSTEM
  ibrav = 0, nat = 4, ntyp = 3
/
ATOMIC_SPECIES
Eu 151.96 Eu.upf
Cl 35.45 Cl.upf
Ti 47.87 Ti.upf
CELL_PARAMETERS angstrom
-0.4221 3.3545 -0.4830
-0.6278 1.2087 -3.1320
-9.4051 0.5914 0.2512
ATOMIC_POSITIONS crystal
Eu 0.0000 0.0000 0.0000
Cl 0.1083 0.1083 0.6750
Cl 0.8917 0.8917 0.3250
Ti 0.5000 0.5000 0.5000
```

Results
The uncorrected formation energy is -85.6 kJ/mol of atoms. The value obtained for the total energy is -6.353 eV/atom. As for the space group: R-3m.

---

7.
VASP calculation (PBE) on a relaxed TbSCl3 crystal. Values from VASP.

```
&SYSTEM
  ibrav = 0, nat = 20, ntyp = 3
/
ATOMIC_SPECIES
Tb 158.93 Tb.upf
S 32.06 S.upf
Cl 35.45 Cl.upf
CELL_PARAMETERS angstrom
-0.8627 5.7579 -4.4893
0.0703 -4.5181 -5.8084
-11.9889 -3.5970 -2.3096
ATOMIC_POSITIONS crystal
Tb 0.7500 0.0808 0.9183
Tb 0.2500 0.5808 0.4183
Tb 0.7500 0.4192 0.5817
Tb 0.2500 0.9192 0.0817
S 0.2500 0.1886 0.6942
S 0.2500 0.3114 0.8058
S 0.7500 0.6886 0.1942
S 0.7500 0.8114 0.3058
Cl 0.0101 0.6849 0.5503
Cl 0.9899 0.1849 0.0503
Cl 0.2500 0.5567 0.2094
Cl 0.4898 0.8152 0.9496
Cl 0.7500 0.0567 0.7094
Cl 0.9899 0.3151 0.4497
Cl 0.4898 0.6848 0.5504
Cl 0.2500 0.9433 0.2906
Cl 0.5102 0.1848 0.0504
Cl 0.7500 0.4433 0.7906
Cl 0.0101 0.8151 0.9497
Cl 0.5102 0.3152 0.4496
```

Results
The uncorrected formation energy is -162.8 kJ/mol of atoms. The value obtained for the total energy is -4.547 eV/atom. As for the space group: C2/m.

---

8.
VASP calculation (PBE) on a relaxed ZrGeOs crystal. Values from VASP.

```
&SYSTEM
  ibrav = 0, nat = 12, ntyp = 3
/
ATOMIC_SPECIES
Zr 91.22 Zr.upf
Ge 72.64 Ge.upf
Os 190.23 Os.upf
CELL_PARAMETERS angstrom
6.6503 0.0000 0.0020
0.0000 4.0664 0.0000
-5.9877 0.0000 7.7211
ATOMIC_POSITIONS crystal
Zr 0.3028 0.0000 0.5588
Zr 0.6972 0.0000 0.4412
Zr 0.3028 0.5000 0.0588
Zr 0.6972 0.5000 0.9412
Ge 0.7001 0.0000 0.1610
Ge 0.2999 0.0000 0.8390
Ge 0.7001 0.5000 0.6610
Ge 0.2999 0.5000 0.3390
Os 0.0793 0.0000 0.1644
Os 0.9207 0.0000 0.8356
Os 0.0793 0.5000 0.6644
Os 0.9207 0.5000 0.3356
```

Results
As for the formation energy: -10.7 kcal/mol of atoms. The value obtained for the total energy is -8.594 eV/atom. As for the space group: C2/m.

---

9.
VASP calculation (PBE) on a relaxed CsBa2C2 crystal. Values from VASP.

```
&SYSTEM
  ibrav = 0, nat = 5, ntyp = 3
/
ATOMIC_SPECIES
Cs 132.91 Cs.upf
C 12.01 C.upf
Ba 137.33 Ba.upf
CELL_PARAMETERS angstrom
-4.9543 -2.1580 0.0676
1.8972 -4.4320 -2.4422
-0.2807 -5.9770 4.6492
ATOMIC_POSITIONS crystal
Cs 0.0000 0.0000 0.0000
C 0.7500 0.2500 0.5000
C 0.2500 0.7500 0.5000
Ba 0.3095 0.3095 0.3810
Ba 0.6905 0.6905 0.6190
```

Results
As for the formation energy: 28.6 kcal/mol of atoms. The value obtained for the total energy is -3.390 eV/atom. As for the space group: I4/mmm.

---

10.
VASP calculation (PBE) on a relaxed YHo2Tl crystal. Values from VASP.

```
&SYSTEM
  ibrav = 0, nat = 8, ntyp = 3
/
ATOMIC_SPECIES
Y 88.91 Y.upf
Ho 164.93 Ho.upf
Tl 204.38 Tl.upf
CELL_PARAMETERS angstrom
3.6867 0.0001 0.0000
-1.8434 6.3979 0.0000
0.0000 0.0000 10.1288
ATOMIC_POSITIONS crystal
Y 0.9592 0.9186 0.2500
Y 0.0408 0.0814 0.7500
Ho 0.3696 0.7388 0.5343
Ho 0.6304 0.2612 0.4657
Ho 0.3696 0.7388 0.9657
Ho 0.6304 0.2612 0.0343
Tl 0.7537 0.5077 0.7500
Tl 0.2463 0.4923 0.2500
```

Results
As for the formation energy: -3.9 kcal/mol of atoms. The value obtained for the total energy is -4.666 eV/atom. As for the space group: Cmcm.

---

11.
VASP calculation (PBE) on a relaxed Pm2Ho4Er5 crystal. Values from VASP.

```
&SYSTEM
  ibrav = 0, nat = 11, ntyp = 3
/
ATOMIC_SPECIES
Pm 145.00 Pm.upf
Ho 164.93 Ho.upf
Er 167.26 Er.upf
CELL_PARAMETERS angstrom
6.6078 0.0000 0.0000
3.3039 7.7807 2.6336
3.3039 4.5580 8.4253
ATOMIC_POSITIONS crystal
Pm 0.1993 0.8976 0.7039
Pm 0.8007 0.1024 0.2961
Ho 0.4123 0.7703 0.4050
Ho 0.5877 0.2297 0.5950
Ho 0.7565 0.6820 0.8050
Ho 0.2435 0.3180 0.1950
Er 0.1742 0.2703 0.9052
Er 0.8258 0.7297 0.0948
Er 0.0000 0.5000 0.5000
Er 0.6503 0.2703 0.9052
Er 0.3497 0.7297 0.0948
```

Results
As for the formation energy: 3.7 kcal/mol of atoms. The value obtained for the total energy is -4.440 eV/atom. As for the space group: C2/m.

---

12.
VASP calculation (PBE) on a relaxed SrInRh crystal. Values from VASP.

```
&SYSTEM
  ibrav = 0, nat = 6, ntyp = 3
/
ATOMIC_SPECIES
In 114.82 In.upf
Rh 102.91 Rh.upf
Sr 87.62 Sr.upf
CELL_PARAMETERS angstrom
4.9503 0.0000 0.0000
0.0000 5.4214 -0.0471
0.0000 -1.2125 5.7934
ATOMIC_POSITIONS crystal
In 0.2500 0.8382 0.5048
In 0.7500 0.1618 0.4952
Rh 0.2500 0.3711 0.6155
Rh 0.7500 0.6289 0.3845
Sr 0.2500 0.2872 0.1068
Sr 0.7500 0.7128 0.8932
```

Results
As for the formation energy: -9.7 kcal/mol of atoms. The value obtained for the total energy is -4.346 eV/atom. As for the space group: P2_1/m.

---

| no. | calculated density (Mg/m³) | magnetic moment (μB/f.u.) |
| --- | --- | --- |
| 1 | 6.3 | 0.0 |
| 2 | 4.7 | 0.0 |
| 3 | 8.2 | 0.0 |
| 4 | 8.2 | 0.0 |
| 5 | 10.0 | 0.0 |
| 6 | 4.8 | 8.6 |
| 7 | 3.0 | 1.0 |
| 8 | 11.3 | 0.0 |
| 9 | 3.8 | 3.0 |
| 10 | 8.7 | 0.3 |
| 11 | 8.4 | 0.0 |
| 12 | 6.5 | 0.0 |